(1)
Computed, not measured: a PBEsol-optimized structure of Ca3Mn4BiO12 at the SCAN level of DFT.

Results
Uncorrected formation energy = -2.448 eV/atom
Crystal system = monoclinic
M_tot = 13.00 Bohr magnetons per cell

Cell lengths 5.2864, 7.4710, 5.3485 Å; angles 90.00, 90.13, 90.00 degrees
Closest atoms and distances in Å follow each position.
Sites, in units of the cell vectors:
Ca 0.0000 0.0000 0.0000  6 O 2.32-2.54
Ca 0.0179 0.5000 0.0843  6 O 2.31-2.56
Ca 0.5014 0.5000 0.5848  8 O 2.32-2.59
Mn 0.0109 0.2540 0.5433  6 O 1.88-1.93
Mn 0.0109 0.7460 0.5433  6 O 1.88-1.93
Mn 0.5075 0.2539 0.0396  6 O 1.88-1.94
Mn 0.5075 0.7461 0.0396  6 O 1.88-1.94
Bi 0.5186 0.0000 0.4946  8 O 2.35-2.58
O 0.0799 0.0000 0.5594  2 Mn 1.93
O 0.2197 0.2901 0.8311  2 Mn 1.90-1.91
O 0.2197 0.7099 0.8311  2 Mn 1.90-1.91
O 0.2998 0.2861 0.3326  2 Mn 1.91-1.93
O 0.2998 0.7139 0.3326  2 Mn 1.91-1.93
O 0.4360 0.0000 0.0554  2 Mn 1.94
O 0.5850 0.5000 0.0288  2 Mn 1.88
O 0.7214 0.2148 0.7559  2 Mn 1.92-1.93
O 0.7214 0.7852 0.7559  2 Mn 1.92-1.93
O 0.7945 0.2086 0.2581  2 Mn 1.93-1.94
O 0.7945 0.7914 0.2581  2 Mn 1.93-1.94
O 0.9352 0.5000 0.5224  2 Mn 1.88


(2)
Computed, not measured: a PBEsol-optimized structure of Nd4Se3O4 at the SCAN level of DFT.

Results
Uncorrected formation energy = -3.058 eV/atom
Crystal system = orthorhombic
M_tot = 0.00 Bohr magnetons per cell

Cell lengths 8.3740, 6.7143, 6.7143 Å; angles 34.52, 90.00, 90.00 degrees
Closest atoms and distances in Å follow each position.
Sites, in units of the cell vectors:
Nd 0.0000 0.0000 0.0000  4 O 2.29-2.33
Nd 0.2372 0.6837 0.6837  4 O 2.34-2.37
Nd 0.5000 0.0163 0.0163  4 O 2.33-2.36
Nd 0.7628 0.6837 0.6837  4 O 2.34-2.37
Se 0.0000 0.3112 0.3112  2 Se 2.99, 6 Nd 3.14-3.25
Se 0.3503 0.3566 0.3566  1 Se 2.51
Se 0.6497 0.3566 0.3566  1 Se 2.51
O 0.0000 0.5877 0.5877  4 Nd 2.29-2.34
O 0.2439 0.0880 0.0880  4 Nd 2.33-2.34
O 0.5000 0.6152 0.6152  4 Nd 2.36-2.37
O 0.7561 0.0880 0.0880  4 Nd 2.33-2.34


(3)
Computed, not measured: a PBEsol-optimized structure of KRePb2 at the SCAN level of DFT.

Results
Crystal system = orthorhombic
M_tot = 0.00 Bohr magnetons per cell
Energy above the most stable polymorph in this dataset = 265 meV per atom
Formation energy = 2.9 eV per formula unit

Cell lengths 6.8298, 6.8298, 6.8298 Å; angles 155.05, 123.96, 62.27 degrees
Closest atoms and distances in Å follow each position.
Sites, in units of the cell vectors:
K 0.0000 0.0000 0.0000  2 K 2.95
Re 0.5000 0.5000 0.0000  4 Pb 2.79, 2 Re 2.95
Pb 0.2979 0.7979 0.5000  2 Re 2.79, 2 Pb 2.95
Pb 0.7021 0.2021 0.5000  2 Re 2.79, 2 Pb 2.95


(4)
Computed, not measured: a PBEsol-optimized structure of LiV2P2O8 at the SCAN level of DFT.

Results
Uncorrected formation energy = -2.577 eV/atom
Crystal system = monoclinic
M_tot = 10.00 Bohr magnetons per cell
Energy above the most stable polymorph in this dataset = 0 meV per atom

Cell lengths 4.7188, 10.0913, 7.4086 Å; angles 90.00, 128.58, 90.00 degrees
Closest atoms and distances in Å follow each position.
Sites, in units of the cell vectors:
Li 0.0000 0.0000 0.0000  6 O 2.11-2.14
Li 0.0000 0.5000 0.5000  6 O 2.11-2.14
V 0.2315 0.2274 0.7518  6 O 2.03-2.12
V 0.2315 0.2726 0.2518  6 O 2.03-2.12
V 0.7685 0.7274 0.7482  6 O 2.03-2.12
V 0.7685 0.7726 0.2482  6 O 2.03-2.12
P 0.3295 0.5932 0.2476  4 O 1.52-1.60
P 0.3295 0.9068 0.7476  4 O 1.52-1.60
P 0.6705 0.0932 0.2524  4 O 1.52-1.60
P 0.6705 0.4068 0.7524  4 O 1.52-1.60
O 0.0207 0.6046 0.2603  1 P 1.52
O 0.0207 0.8954 0.7603  1 P 1.52
O 0.2609 0.6740 0.0426  1 P 1.57
O 0.2609 0.8260 0.5426  1 P 1.57
O 0.3095 0.1658 0.0425  1 P 1.60
O 0.3095 0.3342 0.5425  1 P 1.60
O 0.4395 0.0500 0.7531  1 P 1.53
O 0.4395 0.4500 0.2531  1 P 1.53
O 0.5605 0.5500 0.7469  1 P 1.53
O 0.5605 0.9500 0.2469  1 P 1.53
O 0.6905 0.6658 0.4575  1 P 1.60
O 0.6905 0.8342 0.9575  1 P 1.60
O 0.7391 0.1740 0.4574  1 P 1.57
O 0.7391 0.3260 0.9574  1 P 1.57
O 0.9793 0.1046 0.2397  1 P 1.52
O 0.9793 0.3954 0.7397  1 P 1.52


(5)
Computed, not measured: a PBEsol-optimized structure of Hf2ReSnF at the SCAN level of DFT.

Results
Uncorrected formation energy = 0.938 eV/atom
Crystal system = tetragonal
M_tot = 0.00 Bohr magnetons per cell

Cell lengths 5.2767, 5.2767, 3.9501 Å; angles 90.00, 90.00, 90.00 degrees
Closest atoms and distances in Å follow each position.
Sites, in units of the cell vectors:
Hf 0.0000 0.5000 0.0000  2 Sn 2.64
Hf 0.5000 0.0000 0.0000  2 Sn 2.64
Re 0.0000 0.0000 0.5000  8 Hf 3.30
Sn 0.5000 0.5000 0.0000  2 F 1.98
F 0.5000 0.5000 0.5000  2 Sn 1.98


(6)
Computed, not measured: a PBEsol-optimized structure of AgRuW3 at the SCAN level of DFT.

Results
Crystal system = cubic
M_tot = 0.00 Bohr magnetons per cell
Formation energy = 10.4 eV per formula unit

Cell lengths 4.6315, 4.6315, 4.6315 Å; angles 90.00, 90.00, 90.00 degrees
Closest atoms and distances in Å follow each position.
Sites, in units of the cell vectors:
Ag 0.0000 0.0000 0.0000  12 W 3.27
Ru 0.5000 0.5000 0.5000  6 W 2.32
W 0.0000 0.5000 0.5000  2 Ru 2.32
W 0.5000 0.0000 0.5000  2 Ru 2.32
W 0.5000 0.5000 0.0000  2 Ru 2.32


(7)
Computed, not measured: a PBEsol-optimized structure of Li3Pt at the SCAN level of DFT.

Results
Crystal system = monoclinic
M_tot = 0.01 Bohr magnetons per cell
Energy above the most stable polymorph in this dataset = 31 meV per atom
Formation energy = -1.8 eV per formula unit

Cell lengths 2.7019, 4.2282, 4.9891 Å; angles 90.00, 98.96, 90.00 degrees
Closest atoms and distances in Å follow each position.
Sites, in units of the cell vectors:
Li 0.0000 0.0000 0.0000  6 Li 2.64-2.70, 2 Pt 2.65
Li 0.2125 0.5000 0.7229  1 Li 2.34, 2 Pt 2.56
Li 0.7875 0.5000 0.2771  1 Li 2.34, 2 Pt 2.56
Pt 0.5000 0.0000 0.5000  6 Li 2.56-2.65, 2 Pt 2.70


(8)
Computed, not measured: a PBEsol-optimized structure of NaInIrC2 at the SCAN level of DFT.

Results
Crystal system = tetragonal
M_tot = 0.63 Bohr magnetons per cell
Formation energy = 13.1 eV per formula unit

Cell lengths 4.3036, 4.3036, 5.0689 Å; angles 90.00, 90.00, 90.00 degrees
Closest atoms and distances in Å follow each position.
Sites, in units of the cell vectors:
Na 0.0000 0.0000 0.0000  4 Ir 3.04, 8 C 3.32
In 0.5000 0.5000 0.5000  4 C 2.15
Ir 0.5000 0.5000 0.0000  2 In 2.53
C 0.0000 0.5000 0.5000  2 In 2.15
C 0.5000 0.0000 0.5000  2 In 2.15


(9)
Computed, not measured: a PBEsol-optimized structure of TiCu3Ag at the SCAN level of DFT.

Results
Crystal system = cubic
M_tot = 2.30 Bohr magnetons per cell
Formation energy = 5.3 eV per formula unit

Cell lengths 4.5481, 4.5481, 4.5481 Å; angles 90.00, 90.00, 90.00 degrees
Closest atoms and distances in Å follow each position.
Sites, in units of the cell vectors:
Ti 0.0000 0.0000 0.0000  12 Cu 3.22
Cu 0.0000 0.5000 0.5000  2 Ag 2.27
Cu 0.5000 0.0000 0.5000  2 Ag 2.27
Cu 0.5000 0.5000 0.0000  2 Ag 2.27
Ag 0.5000 0.5000 0.5000  6 Cu 2.27


(10)
Computed, not measured: a PBEsol-optimized structure of SrZnPCl2 at the SCAN level of DFT.

Results
Uncorrected formation energy = -1.024 eV/atom
Crystal system = tetragonal
M_tot = 0.99 Bohr magnetons per cell

Cell lengths 4.9361, 4.9361, 4.7234 Å; angles 90.00, 90.00, 90.00 degrees
Closest atoms and distances in Å follow each position.
Sites, in units of the cell vectors:
Sr 0.0000 0.0000 0.0000  8 Cl 3.42, 4 P 3.49
Zn 0.5000 0.5000 0.5000  2 P 2.36, 4 Cl 2.47
P 0.5000 0.5000 0.0000  2 Zn 2.36
Cl 0.0000 0.5000 0.5000  2 Zn 2.47
Cl 0.5000 0.0000 0.5000  2 Zn 2.47


(11)
Computed, not measured: a PBEsol-optimized structure of SrIrRh2 at the SCAN level of DFT.

Results
Crystal system = trigonal
M_tot = 0.00 Bohr magnetons per cell
Energy above the most stable polymorph in this dataset = 372 meV per atom
Formation energy = 2.4 eV per formula unit

Cell lengths 9.6541, 9.6541, 9.6541 Å; angles 16.78, 16.78, 16.78 degrees
Closest atoms and distances in Å follow each position.
Sites, in units of the cell vectors:
Sr 0.0000 0.0000 0.0000  6 Sr 2.82, 6 Rh 3.11
Ir 0.5000 0.5000 0.5000  6 Rh 2.67, 6 Ir 2.82
Rh 0.2407 0.2407 0.2407  3 Ir 2.67, 6 Rh 2.82
Rh 0.7593 0.7593 0.7593  3 Ir 2.67, 6 Rh 2.82


(12)
Computed, not measured: a PBEsol-optimized structure of TaMn2Mo at the SCAN level of DFT.

Results
Crystal system = orthorhombic
M_tot = 2.98 Bohr magnetons per cell
Energy above the most stable polymorph in this dataset = 94 meV per atom
Formation energy = 0.4 eV per formula unit

Cell lengths 2.6794, 2.6794, 8.0538 Å; angles 90.00, 90.00, 109.17 degrees
Closest atoms and distances in Å follow each position.
Sites, in units of the cell vectors:
Ta 0.0000 0.0000 0.0000  4 Mn 2.58, 4 Ta 2.68
Mn 0.5000 0.5000 0.2560  2 Mo 2.50, 2 Ta 2.58, 4 Mn 2.68
Mn 0.5000 0.5000 0.7440  2 Mo 2.50, 2 Ta 2.58, 4 Mn 2.68
Mo 0.0000 0.0000 0.5000  4 Mn 2.50, 4 Mo 2.68


(13)
Computed, not measured: a PBEsol-optimized structure of Nb3FeH at the SCAN level of DFT.

Results
Crystal system = cubic
M_tot = 0.00 Bohr magnetons per cell
Energy above the most stable polymorph in this dataset = 1304 meV per atom

Cell lengths 4.5366, 4.5366, 4.5366 Å; angles 90.00, 90.00, 90.00 degrees
Closest atoms and distances in Å follow each position.
Sites, in units of the cell vectors:
Nb 0.0000 0.0000 0.5000  2 Fe 2.27
Nb 0.0000 0.5000 0.0000  2 Fe 2.27
Nb 0.5000 0.0000 0.0000  2 Fe 2.27
Fe 0.0000 0.0000 0.0000  6 Nb 2.27
H 0.5000 0.5000 0.5000  12 Nb 3.21


(14)
Computed, not measured: a PBEsol-optimized structure of CdCo3Pd at the SCAN level of DFT.

Results
Crystal system = cubic
M_tot = 6.70 Bohr magnetons per cell
Formation energy = 6.0 eV per formula unit

Cell lengths 4.4877, 4.4877, 4.4877 Å; angles 90.00, 90.00, 90.00 degrees
Closest atoms and distances in Å follow each position.
Sites, in units of the cell vectors:
Cd 0.0000 0.0000 0.0000  12 Co 3.17
Co 0.0000 0.5000 0.5000  2 Pd 2.24
Co 0.5000 0.0000 0.5000  2 Pd 2.24
Co 0.5000 0.5000 0.0000  2 Pd 2.24
Pd 0.5000 0.5000 0.5000  6 Co 2.24


(15)
Computed, not measured: a PBEsol-optimized structure of Ga2TeCl at the SCAN level of DFT.

Results
Uncorrected formation energy = -0.203 eV/atom
Crystal system = cubic
M_tot = 0.00 Bohr magnetons per cell

Cell lengths 5.0190, 5.0190, 5.0190 Å; angles 60.00, 60.00, 60.00 degrees
Closest atoms and distances in Å follow each position.
Sites, in units of the cell vectors:
Ga 0.2500 0.2500 0.2500  4 Cl 3.07, 4 Te 3.07
Ga 0.7500 0.7500 0.7500  4 Cl 3.07, 4 Te 3.07
Te 0.0000 0.0000 0.0000  8 Ga 3.07
Cl 0.5000 0.5000 0.5000  8 Ga 3.07


(16)
Computed, not measured: a PBEsol-optimized structure of FeRhW2 at the SCAN level of DFT.

Results
Crystal system = orthorhombic
M_tot = 0.00 Bohr magnetons per cell
Energy above the most stable polymorph in this dataset = 155 meV per atom
Formation energy = 0.9 eV per formula unit

Cell lengths 2.8290, 3.4538, 5.6795 Å; angles 90.00, 90.00, 90.00 degrees
Closest atoms and distances in Å follow each position.
Sites, in units of the cell vectors:
Fe 0.0000 0.0000 0.0000  5 W 2.49-2.78, 4 Rh 2.69
Rh 0.5000 0.5000 0.2654  5 W 2.61-2.63, 4 Fe 2.69, 2 Rh 2.83
W 0.0000 0.0000 0.5104  4 Rh 2.63, 2 Fe 2.78-2.90, 6 W 2.79-2.83
W 0.5000 0.5000 0.8065  4 Fe 2.49, 1 Rh 2.61


(17)
Computed, not measured: a PBEsol-optimized structure of NaCd3Si at the SCAN level of DFT.

Results
Uncorrected formation energy = 1.036 eV/atom
Crystal system = cubic
M_tot = 0.00 Bohr magnetons per cell

Cell lengths 5.1016, 5.1016, 5.1016 Å; angles 90.00, 90.00, 90.00 degrees
Closest atoms and distances in Å follow each position.
Sites, in units of the cell vectors:
Na 0.0000 0.0000 0.0000  6 Cd 2.55
Cd 0.0000 0.0000 0.5000  2 Na 2.55
Cd 0.0000 0.5000 0.0000  2 Na 2.55
Cd 0.5000 0.0000 0.0000  2 Na 2.55
Si 0.5000 0.5000 0.5000  12 Cd 3.61


(18)
Computed, not measured: a PBEsol-optimized structure of SiNiAu2Se at the SCAN level of DFT.

Results
Uncorrected formation energy = 0.845 eV/atom
Crystal system = tetragonal
M_tot = 0.00 Bohr magnetons per cell

Cell lengths 4.9316, 4.9316, 4.2306 Å; angles 90.00, 90.00, 90.00 degrees
Closest atoms and distances in Å follow each position.
Sites, in units of the cell vectors:
Si 0.0000 0.0000 0.0000  8 Au 3.25, 4 Ni 3.49
Ni 0.5000 0.5000 0.0000  2 Se 2.12
Au 0.0000 0.5000 0.5000  2 Se 2.47
Au 0.5000 0.0000 0.5000  2 Se 2.47
Se 0.5000 0.5000 0.5000  2 Ni 2.12


(19)
Computed, not measured: a PBEsol-optimized structure of AlOs2F at the SCAN level of DFT.

Results
Uncorrected formation energy = 0.466 eV/atom
Crystal system = cubic
M_tot = 0.00 Bohr magnetons per cell

Cell lengths 4.1695, 4.1695, 4.1695 Å; angles 60.00, 60.00, 60.00 degrees
Closest atoms and distances in Å follow each position.
Sites, in units of the cell vectors:
Al 0.0000 0.0000 0.0000  8 Os 2.55
Os 0.2500 0.2500 0.2500  4 F 2.55, 4 Al 2.55
Os 0.7500 0.7500 0.7500  4 F 2.55, 4 Al 2.55
F 0.5000 0.5000 0.5000  8 Os 2.55


(20)
Computed, not measured: a PBEsol-optimized structure of Ta4CdHg at the SCAN level of DFT.

Results
Crystal system = cubic
M_tot = 0.00 Bohr magnetons per cell
Formation energy = 3.1 eV per formula unit

Cell lengths 5.4606, 5.4606, 5.4606 Å; angles 60.00, 60.00, 60.00 degrees
Closest atoms and distances in Å follow each position.
Sites, in units of the cell vectors:
Ta 0.1244 0.1244 0.1244  6 Ta 2.72-2.74
Ta 0.1244 0.1244 0.6269  6 Ta 2.72-2.74
Ta 0.1244 0.6269 0.1244  6 Ta 2.72-2.74
Ta 0.6269 0.1244 0.1244  6 Ta 2.72-2.74
Cd 0.7500 0.7500 0.7500  12 Ta 3.20, 4 Hg 3.34
Hg 0.5000 0.5000 0.5000  12 Ta 3.20, 4 Cd 3.34